Version w
# La3OsPt

Crystalline La3OsPt at its relaxed geometry (PBE-GGA, the Alexandria database).

Cell lengths 8.908, 7.585, 8.770 Å; angles 90.00, 107.08, 90.00 degrees
Space group P2_1/c (No. 14)
Symmetry-distinct sites (fractional):
La 0.043 0.009 0.215 (multiplicity 4)
La 0.281 0.657 0.102 (multiplicity 4)
La 0.348 0.195 0.009 (multiplicity 4)
Os 0.054 0.184 0.518 (multiplicity 4)
Pt 0.404 0.534 0.816 (multiplicity 4)

Calculated values
The value obtained for the spin magnetization is 0.0 μB/cell. The calculated density is 9.405 g cm⁻³.

Version x
# La3OsPt

Crystalline La3OsPt at its relaxed geometry (PBE-GGA, the Alexandria database).

Cell lengths 5.467, 5.467, 5.467 Å; angles 90.00, 90.00, 90.00 degrees
Space group Pm-3m (No. 221)
Symmetry-distinct sites (fractional):
La 0.000 0.000 0.500 (multiplicity 3)
Os 0.000 0.000 0.000 (multiplicity 1)
Pt 0.500 0.500 0.500 (multiplicity 1)

Calculated values
The value obtained for the spin magnetization is 0.0 μB/cell. The calculated density is 8.149 g cm⁻³.

Least stable of them? version x.

Version w
# LaOs3Pt

Crystalline LaOs3Pt at its relaxed geometry (PBE-GGA, the Alexandria database).

Cell lengths 4.778, 4.778, 4.778 Å; angles 90.00, 90.00, 90.00 degrees
Space group Pm-3m (No. 221)
Symmetry-distinct sites (fractional):
La 0.000 0.000 0.000 (multiplicity 1)
Os 0.000 0.000 0.500 (multiplicity 3)
Pt 0.500 0.500 0.500 (multiplicity 1)

Calculated values
The value obtained for the spin magnetization is 3.6 μB/cell. The calculated density is 13.774 g cm⁻³.

Version x
# LaOs3Pt

Crystalline LaOs3Pt at its relaxed geometry (PBE-GGA, the Alexandria database).

Cell lengths 4.826, 4.826, 4.826 Å; angles 90.00, 90.00, 90.00 degrees
Space group Pm-3m (No. 221)
Symmetry-distinct sites (fractional):
La 0.000 0.000 0.000 (multiplicity 1)
Os 0.000 0.500 0.500 (multiplicity 3)
Pt 0.500 0.500 0.500 (multiplicity 1)

Calculated values
The value obtained for the spin magnetization is 0.0 μB/cell. The calculated density is 13.363 g cm⁻³.

Least stable of them? version w.

Version w
# La4OsPt

Crystalline La4OsPt at its relaxed geometry (PBE-GGA, the Alexandria database).

Cell lengths 8.550, 8.550, 8.550 Å; angles 90.00, 90.00, 90.00 degrees
Space group F-43m (No. 216)
Symmetry-distinct sites (fractional):
La 0.124 0.124 0.124 (multiplicity 16)
Os 0.250 0.250 0.750 (multiplicity 4)
Pt 0.000 0.000 0.500 (multiplicity 4)

Calculated values
The value obtained for the spin magnetization is 0.0 μB/cell. The calculated density is 9.999 g cm⁻³.

Version x
# La4OsPt

Crystalline La4OsPt at its relaxed geometry (PBE-GGA, the Alexandria database).

Cell lengths 7.164, 7.201, 8.659 Å; angles 112.33, 114.34, 90.02 degrees
Space group P-1 (No. 2)
Symmetry-distinct sites (fractional):
La 0.088 0.062 0.244 (multiplicity 2)
La 0.157 0.562 0.244 (multiplicity 2)
La 0.334 0.355 0.739 (multiplicity 2)
La 0.403 0.855 0.739 (multiplicity 2)
Os 0.000 0.000 0.500 (multiplicity 1)
Os 0.500 0.500 0.500 (multiplicity 1)
Pt 0.260 0.750 0.000 (multiplicity 2)

Calculated values
The value obtained for the spin magnetization is 0.0 μB/cell. The calculated density is 8.448 g cm⁻³.

Least stable of them? version w.